#i
# Ag2BrF PBE-GGA optimized geometry
data_Ag2BrF
_symmetry_space_group_name_H-M 'P n m a'
_symmetry_Int_Tables_number 62
_cell_length_a 8.005
_cell_length_b 5.448
_cell_length_c 8.232
_cell_angle_alpha 90.00
_cell_angle_beta 90.00
_cell_angle_gamma 90.00
loop_
_symmetry_equiv_pos_as_xyz
'x,y,z'
'-x,-y,-z'
'-x+1/2,-y,z+1/2'
'x+1/2,y,-z+1/2'
'x+1/2,-y+1/2,-z+1/2'
'-x+1/2,y+1/2,z+1/2'
'-x,y+1/2,-z'
'x,-y+1/2,z'
loop_
_atom_site_label
_atom_site_type_symbol
_atom_site_fract_x
_atom_site_fract_y
_atom_site_fract_z
_atom_site_occupancy
Ag1 Ag 0.005 0.250 0.146 1
Ag2 Ag 0.142 0.250 0.660 1
Br1 Br 0.156 0.750 0.577 1
F1 F 0.061 0.750 0.129 1
# Calculated volume in Å³ per cell: 359.0

***

#ii
# Ag2BrF PBE-GGA optimized geometry
data_Ag2BrF
_symmetry_space_group_name_H-M 'R 3 m'
_symmetry_Int_Tables_number 160
_symmetry_space_group_name_Hall 'R 3 -2"'
_cell_length_a 3.8577
_cell_length_b 3.8577
_cell_length_c 18.7029
_cell_angle_alpha 90.00
_cell_angle_beta 90.00
_cell_angle_gamma 120.00
loop_
_atom_site_label
_atom_site_type_symbol
_atom_site_fract_x
_atom_site_fract_y
_atom_site_fract_z
_atom_site_occupancy
Ag1 Ag 0.0000 0.0000 0.0000 1
Ag2 Ag 0.0000 0.0000 0.1948 1
Br1 Br 0.0000 0.0000 0.7649 1
F1 F 0.0000 0.0000 0.5926 1
# Calculated volume in Å³ per cell: 241.0
# Fermi-level density of states in states/eV/atom: 0.5050

***

#iii
# Ag2BrF PBE-GGA optimized geometry
data_Ag2BrF
_symmetry_space_group_name_H-M 'R -3 m'
_symmetry_Int_Tables_number 166
_symmetry_space_group_name_Hall '-R 3 2"'
_cell_length_a 4.4649
_cell_length_b 4.4649
_cell_length_c 19.9347
_cell_angle_alpha 90.00
_cell_angle_beta 90.00
_cell_angle_gamma 120.00
loop_
_atom_site_label
_atom_site_type_symbol
_atom_site_fract_x
_atom_site_fract_y
_atom_site_fract_z
_atom_site_occupancy
Ag1 Ag 0.0000 0.0000 0.1083 1
Br1 Br 0.0000 0.0000 0.5000 1
F1 F 0.0000 0.0000 0.0000 1
# Calculated volume in Å³ per cell: 344.2

***

What is the stability order? It is #i, #ii, #iii, from most stable to least stable.

***

#i
# Ag2BrF PBE-GGA optimized geometry
data_Ag2BrF
_symmetry_space_group_name_H-M 'C m c e'
_symmetry_Int_Tables_number 64
_symmetry_space_group_name_Hall '-C 2ac 2'
_cell_length_a 6.185
_cell_length_b 15.790
_cell_length_c 7.427
_cell_angle_alpha 90.00
_cell_angle_beta 90.00
_cell_angle_gamma 90.00
loop_
_atom_site_label
_atom_site_type_symbol
_atom_site_fract_x
_atom_site_fract_y
_atom_site_fract_z
_atom_site_occupancy
Ag1 Ag 0.000 0.057 0.209 1
Ag2 Ag 0.250 0.182 0.750 1
Br1 Br 0.000 0.181 0.425 1
F1 F 0.000 0.076 0.883 1
# Calculated volume in Å³ per cell: 725.3

***

#ii
# Ag2BrF PBE-GGA optimized geometry
data_Ag2BrF
_symmetry_space_group_name_H-M 'P 4/m m m'
_symmetry_Int_Tables_number 123
_symmetry_space_group_name_Hall '-P 4 2'
_cell_length_a 4.575
_cell_length_b 4.575
_cell_length_c 3.504
_cell_angle_alpha 90.00
_cell_angle_beta 90.00
_cell_angle_gamma 90.00
loop_
_atom_site_label
_atom_site_type_symbol
_atom_site_fract_x
_atom_site_fract_y
_atom_site_fract_z
_atom_site_occupancy
Ag1 Ag 0.000 0.500 0.000 1
Br1 Br 0.000 0.000 0.500 1
F1 F 0.500 0.500 0.500 1
# Calculated volume in Å³ per cell: 73.3
# Fermi-level density of states in states/eV/atom: 0.0682

***

What is the stability order? It is #i, #ii, from most stable to least stable.

***

#i
# Ag4Br3F2 PBE-GGA optimized geometry
data_Ag4Br3F2
_symmetry_space_group_name_H-M 'C 1 2/c 1'
_symmetry_Int_Tables_number 15
_cell_length_a 11.639
_cell_length_b 9.782
_cell_length_c 6.958
_cell_angle_alpha 90.00
_cell_angle_beta 91.04
_cell_angle_gamma 90.00
loop_
_symmetry_equiv_pos_as_xyz
'x,y,z'
'-x,-y,-z'
'-x,y,-z+1/2'
'x,-y,z+1/2'
'x+1/2,y+1/2,z'
'-x+1/2,-y+1/2,-z'
'-x+1/2,y+1/2,-z+1/2'
'x+1/2,-y+1/2,z+1/2'
loop_
_atom_site_label
_atom_site_type_symbol
_atom_site_fract_x
_atom_site_fract_y
_atom_site_fract_z
_atom_site_occupancy
Ag1 Ag 0.111 0.160 0.001 1
Ag2 Ag 0.148 0.411 0.568 1
Br1 Br 0.000 0.404 0.250 1
Br2 Br 0.116 0.130 0.555 1
F1 F 0.203 0.370 0.896 1
# Calculated volume in Å³ per cell: 792.0
# Fermi-level density of states in states/eV/atom: 0.8661

***

#ii
# Ag4Br3F2 PBE-GGA optimized geometry
data_Ag4Br3F2
_symmetry_space_group_name_H-M 'C 1 2/c 1'
_symmetry_Int_Tables_number 15
_cell_length_a 14.500
_cell_length_b 7.827
_cell_length_c 7.955
_cell_angle_alpha 90.00
_cell_angle_beta 105.93
_cell_angle_gamma 90.00
loop_
_symmetry_equiv_pos_as_xyz
'x,y,z'
'-x,-y,-z'
'-x,y,-z+1/2'
'x,-y,z+1/2'
'x+1/2,y+1/2,z'
'-x+1/2,-y+1/2,-z'
'-x+1/2,y+1/2,-z+1/2'
'x+1/2,-y+1/2,z+1/2'
loop_
_atom_site_label
_atom_site_type_symbol
_atom_site_fract_x
_atom_site_fract_y
_atom_site_fract_z
_atom_site_occupancy
Ag1 Ag 0.105 0.174 0.356 1
Ag2 Ag 0.186 0.450 0.857 1
Br1 Br 0.000 0.464 0.250 1
Br2 Br 0.128 0.125 0.020 1
F1 F 0.192 0.374 0.589 1
# Calculated volume in Å³ per cell: 868.2
# Fermi-level density of states in states/eV/atom: 0.4588

***

What is the stability order? It is #ii, #i, from most stable to least stable.

***

#i
# Ag2IBrF PBE-GGA optimized geometry
data_Ag2IBrF
_symmetry_space_group_name_H-M 'C 1 2/m 1'
_symmetry_Int_Tables_number 12
_cell_length_a 14.685
_cell_length_b 3.984
_cell_length_c 9.954
_cell_angle_alpha 90.00
_cell_angle_beta 108.46
_cell_angle_gamma 90.00
loop_
_symmetry_equiv_pos_as_xyz
'x,y,z'
'-x,-y,-z'
'-x,y,-z'
'x,-y,z'
'x+1/2,y+1/2,z'
'-x+1/2,-y+1/2,-z'
'-x+1/2,y+1/2,-z'
'x+1/2,-y+1/2,z'
loop_
_atom_site_label
_atom_site_type_symbol
_atom_site_fract_x
_atom_site_fract_y
_atom_site_fract_z
_atom_site_occupancy
Ag1 Ag 0.157 0.000 0.260 1
Ag2 Ag 0.158 0.500 0.877 1
I1 I 0.197 0.000 0.672 1
Br1 Br 0.032 0.500 0.244 1
F1 F 0.172 0.000 0.016 1
# Calculated volume in Å³ per cell: 552.4
# Fermi-level density of states in states/eV/atom: 0.9382

***

#ii
# Ag2IBrF PBE-GGA optimized geometry
data_Ag2IBrF
_symmetry_space_group_name_H-M 'P 4/m m m'
_symmetry_Int_Tables_number 123
_symmetry_space_group_name_Hall '-P 4 2'
_cell_length_a 4.644
_cell_length_b 4.644
_cell_length_c 5.727
_cell_angle_alpha 90.00
_cell_angle_beta 90.00
_cell_angle_gamma 90.00
loop_
_atom_site_label
_atom_site_type_symbol
_atom_site_fract_x
_atom_site_fract_y
_atom_site_fract_z
_atom_site_occupancy
Ag1 Ag 0.000 0.500 0.000 1
I1 I 0.000 0.000 0.500 1
Br1 Br 0.500 0.500 0.500 1
F1 F 0.500 0.500 0.000 1
# Calculated volume in Å³ per cell: 123.5
# Fermi-level density of states in states/eV/atom: 0.4824

***

What is the stability order? It is #i, #ii, from most stable to least stable.

***

#i
# AgBrN2F PBE-GGA optimized geometry
data_AgBrN2F
_symmetry_space_group_name_H-M 'P 4/m m m'
_symmetry_Int_Tables_number 123
_symmetry_space_group_name_Hall '-P 4 2'
_cell_length_a 3.821
_cell_length_b 3.821
_cell_length_c 5.313
_cell_angle_alpha 90.00
_cell_angle_beta 90.00
_cell_angle_gamma 90.00
loop_
_atom_site_label
_atom_site_type_symbol
_atom_site_fract_x
_atom_site_fract_y
_atom_site_fract_z
_atom_site_occupancy
Ag1 Ag 0.000 0.000 0.000 1
Br1 Br 0.500 0.500 0.500 1
N1 N 0.000 0.500 0.500 1
F1 F 0.500 0.500 0.000 1
# Calculated volume in Å³ per cell: 77.6
# Fermi-level density of states in states/eV/atom: 0.4178

***

#ii
# AgBrN2F PBE-GGA optimized geometry
data_AgBrN2F
_symmetry_space_group_name_H-M 'P 4/m m m'
_symmetry_Int_Tables_number 123
_symmetry_space_group_name_Hall '-P 4 2'
_cell_length_a 4.309
_cell_length_b 4.309
_cell_length_c 4.239
_cell_angle_alpha 90.00
_cell_angle_beta 90.00
_cell_angle_gamma 90.00
loop_
_atom_site_label
_atom_site_type_symbol
_atom_site_fract_x
_atom_site_fract_y
_atom_site_fract_z
_atom_site_occupancy
Ag1 Ag 0.000 0.000 0.000 1
Br1 Br 0.500 0.500 0.500 1
N1 N 0.000 0.500 0.000 1
F1 F 0.000 0.000 0.500 1
# Calculated volume in Å³ per cell: 78.7
# Fermi-level density of states in states/eV/atom: 0.8617

***

What is the stability order? It is #ii, #i, from most stable to least stable.